Ba3HoFe2O6: optimized geometry, PBE with a Hubbard U.

```
Ba3HoFe2O6
1.0
-3.842 3.413 3.469
-1.225 -5.995 -0.999
3.713 -1.726 5.811
Ba Ho Fe O
3 1 2 6
Direct
0.333 0.667 0.649
0.667 0.333 0.351
0.000 0.000 0.000
0.000 0.000 0.500
0.667 0.333 0.788
0.333 0.667 0.212
0.669 0.834 0.308
0.166 0.331 0.308
0.166 0.834 0.308
0.834 0.669 0.692
0.331 0.166 0.692
0.834 0.166 0.692
```

Summary:
Total magnetic moment ... 8.828 μB/cell
Space-group type ... P-3m1 (164)
Crystal system ... trigonal
Energy ... -6.509 eV/atom